DFT (PBE) results for Ta3NiB2 after structural relaxation.

abc: 3.2157 3.2157 17.9151
angles: 90.00 90.00 120.00
With the nearest neighbours (Å) after each atom.
Element x y z (fractional)
Ta1 0.0000 0.0000 0.0000  6 B 2.30
Ta2 0.0000 0.0000 0.5000  6 B 2.30
Ta3 0.3333 0.6667 0.1460  3 B 2.24
Ta4 0.3333 0.6667 0.3540  3 B 2.24
Ta5 0.6667 0.3333 0.6460  3 B 2.24
Ta6 0.6667 0.3333 0.8540  3 B 2.24
Ni1 0.0000 0.0000 0.2500  6 Ta 2.63
Ni2 0.0000 0.0000 0.7500  6 Ta 2.63
B1 0.3333 0.6667 0.5760  6 Ta 2.24-2.30
B2 0.3333 0.6667 0.9240  6 Ta 2.24-2.30
B3 0.6667 0.3333 0.0760  6 Ta 2.24-2.30
B4 0.6667 0.3333 0.4240  6 Ta 2.24-2.30

Calculated values
Total moment ... 0.00 μB per atom
SG ... P6_3/mmc, No. 194
Uncorrected energy ... -9.4856 eV/atom

***

DFT (PBE) results for NaRe5 after structural relaxation.

abc: 5.1359 5.1359 4.5222
angles: 90.00 90.00 120.00
With the nearest neighbours (Å) after each atom.
Element x y z (fractional)
Na1 0.0000 0.0000 0.0000  6 Re 2.97
Re1 0.0000 0.5000 0.5000  8 Re 2.57-2.70
Re2 0.3333 0.6667 0.0000  9 Re 2.70-2.97, 3 Na 2.97
Re3 0.5000 0.0000 0.5000  8 Re 2.57-2.70
Re4 0.5000 0.5000 0.5000  8 Re 2.57-2.70
Re5 0.6667 0.3333 0.0000  9 Re 2.70-2.97, 3 Na 2.97

Calculated values
Total moment ... 0.00 μB per atom
SG ... P6/mmm, No. 191
Uncorrected energy ... -9.9866 eV/atom

***

Repeat the first record exactly.
DFT (PBE) results for Ta3NiB2 after structural relaxation.

abc: 3.2157 3.2157 17.9151
angles: 90.00 90.00 120.00
With the nearest neighbours (Å) after each atom.
Element x y z (fractional)
Ta1 0.0000 0.0000 0.0000  6 B 2.30
Ta2 0.0000 0.0000 0.5000  6 B 2.30
Ta3 0.3333 0.6667 0.1460  3 B 2.24
Ta4 0.3333 0.6667 0.3540  3 B 2.24
Ta5 0.6667 0.3333 0.6460  3 B 2.24
Ta6 0.6667 0.3333 0.8540  3 B 2.24
Ni1 0.0000 0.0000 0.2500  6 Ta 2.63
Ni2 0.0000 0.0000 0.7500  6 Ta 2.63
B1 0.3333 0.6667 0.5760  6 Ta 2.24-2.30
B2 0.3333 0.6667 0.9240  6 Ta 2.24-2.30
B3 0.6667 0.3333 0.0760  6 Ta 2.24-2.30
B4 0.6667 0.3333 0.4240  6 Ta 2.24-2.30

Calculated values
Total moment ... 0.00 μB per atom
SG ... P6_3/mmc, No. 194
Uncorrected energy ... -9.4856 eV/atom